(1)
RbCdRe | PBE-GGA | optimized geometry

Output
The theoretical density is 6.5 g/cm3. For the total DFT energy (no corrections), the calculation gives -2.83 eV per atom.

abc: 7.3369 7.3369 7.3369
angles: 90.00 90.00 90.00
Space group F-43m (No. 216)
Unique sites:
Rb  0.0000  0.0000  0.0000 (multiplicity 4)
Cd  0.0000  0.0000  0.5000 (multiplicity 4)
Re  0.2500  0.2500  0.7500 (multiplicity 4)

(2)
RbScCdS3 | PBE-GGA | optimized geometry

Output
The theoretical density is 3.5 g/cm3. For the total DFT energy (no corrections), the calculation gives -4.73 eV per atom.

abc: 8.1878 3.9432 10.6698
angles: 90.00 111.42 90.00
Space group P2_1/m (No. 11)
Unique sites:
Rb  0.2344  0.2500  0.2245 (multiplicity 2)
Sc  0.1743  0.7500  0.6184 (multiplicity 2)
Cd  0.4098  0.2500  0.8813 (multiplicity 2)
S  0.0330  0.7500  0.3717 (multiplicity 2)
S  0.2564  0.7500  0.9409 (multiplicity 2)
S  0.3964  0.2500  0.6445 (multiplicity 2)

(3)
RbScCdS3 | PBE-GGA | optimized geometry

Output
The theoretical density is 3.9 g/cm3. For the total DFT energy (no corrections), the calculation gives -4.69 eV per atom.

abc: 17.0497 3.9066 8.8462
angles: 90.00 102.07 90.00
Space group C2/m (No. 12)
Unique sites:
Rb  0.1504  0.0000  0.0617 (multiplicity 4)
Sc  0.1744  0.0000  0.5760 (multiplicity 4)
Cd  0.0062  0.5000  0.7180 (multiplicity 4)
S  0.0000  0.0000  0.5000 (multiplicity 2)
S  0.0000  0.5000  0.0000 (multiplicity 2)
S  0.1639  0.5000  0.7594 (multiplicity 4)
S  0.1719  0.5000  0.3762 (multiplicity 4)

(4)
RbSmCdS3 | PBE-GGA | optimized geometry

Output
The theoretical density is 4.6 g/cm3. For the total DFT energy (no corrections), the calculation gives -4.50 eV per atom.

abc: 17.3745 4.1751 9.1217
angles: 90.00 103.48 90.00
Space group C2/m (No. 12)
Unique sites:
Rb  0.1458  0.0000  0.0654 (multiplicity 4)
Sm  0.1694  0.0000  0.5847 (multiplicity 4)
Cd  0.0037  0.5000  0.7208 (multiplicity 4)
S  0.0000  0.0000  0.5000 (multiplicity 2)
S  0.0000  0.5000  0.0000 (multiplicity 2)
S  0.1599  0.5000  0.7784 (multiplicity 4)
S  0.1656  0.5000  0.3711 (multiplicity 4)

(5)
RbSmCdS3 | PBE-GGA | optimized geometry

Output
The theoretical density is 4.1 g/cm3. For the total DFT energy (no corrections), the calculation gives -4.55 eV per atom.

abc: 8.7298 4.2092 10.2994
angles: 90.00 108.47 90.00
Space group P2_1/m (No. 11)
Unique sites:
Rb  0.2321  0.2500  0.2505 (multiplicity 2)
Sm  0.3224  0.7500  0.8676 (multiplicity 2)
Cd  0.0860  0.2500  0.6119 (multiplicity 2)
S  0.0997  0.2500  0.8578 (multiplicity 2)
S  0.2214  0.7500  0.5529 (multiplicity 2)
S  0.4680  0.7500  0.1436 (multiplicity 2)

(6)
Rb2Cd3Sn2S8 | PBE-GGA | optimized geometry

Output
The theoretical density is 3.8 g/cm3. For the total DFT energy (no corrections), the calculation gives -3.71 eV per atom.

abc: 6.8373 8.2250 8.7422
angles: 105.55 90.98 110.80
Space group P-1 (No. 2)
Unique sites:
Rb  0.1289  0.4600  0.2519 (multiplicity 2)
Cd  0.3328  0.0536  0.3923 (multiplicity 2)
Cd  0.5000  0.0000  0.0000 (multiplicity 1)
Sn  0.2465  0.1813  0.7799 (multiplicity 2)
S  0.0978  0.8342  0.1443 (multiplicity 2)
S  0.2689  0.8861  0.6401 (multiplicity 2)
S  0.3396  0.3459  0.5850 (multiplicity 2)
S  0.4852  0.2985  0.0252 (multiplicity 2)

(7)
RbYCdS3 | PBE-GGA | optimized geometry

Output
The theoretical density is 3.7 g/cm3. For the total DFT energy (no corrections), the calculation gives -4.85 eV per atom.

abc: 8.6234 4.1475 10.2247
angles: 90.00 109.08 90.00
Space group P2_1/m (No. 11)
Unique sites:
Rb  0.2369  0.2500  0.2530 (multiplicity 2)
Y  0.3241  0.7500  0.8701 (multiplicity 2)
Cd  0.0853  0.2500  0.6142 (multiplicity 2)
S  0.1042  0.2500  0.8628 (multiplicity 2)
S  0.2274  0.7500  0.5565 (multiplicity 2)
S  0.4697  0.7500  0.1435 (multiplicity 2)

(8)
RbYCdS3 | PBE-GGA | optimized geometry

Output
The theoretical density is 4.1 g/cm3. For the total DFT energy (no corrections), the calculation gives -4.80 eV per atom.

abc: 17.2888 4.0928 8.9787
angles: 90.00 103.08 90.00
Space group C2/m (No. 12)
Unique sites:
Rb  0.1470  0.0000  0.0650 (multiplicity 4)
Y  0.1697  0.0000  0.5807 (multiplicity 4)
Cd  0.0052  0.5000  0.7204 (multiplicity 4)
S  0.0000  0.0000  0.5000 (multiplicity 2)
S  0.0000  0.5000  0.0000 (multiplicity 2)
S  0.1612  0.5000  0.7747 (multiplicity 4)
S  0.1675  0.5000  0.3711 (multiplicity 4)

(9)
RbCd2Sb2 | PBE-GGA | optimized geometry

Output
The theoretical density is 5.8 g/cm3. For the total DFT energy (no corrections), the calculation gives -2.44 eV per atom.

abc: 4.8330 4.8330 13.6828
angles: 90.00 90.00 90.00
Space group I4/mmm (No. 139)
Unique sites:
Rb  0.0000  0.0000  0.0000 (multiplicity 2)
Cd  0.0000  0.5000  0.2500 (multiplicity 4)
Sb  0.0000  0.0000  0.3756 (multiplicity 4)

(10)
RbScCdTe3 | PBE-GGA | optimized geometry

Output
The theoretical density is 4.9 g/cm3. For the total DFT energy (no corrections), the calculation gives -3.90 eV per atom.

abc: 9.2184 4.3850 11.1579
angles: 90.00 110.92 90.00
Space group P2_1/m (No. 11)
Unique sites:
Rb  0.2432  0.2500  0.2740 (multiplicity 2)
Sc  0.3258  0.7500  0.8677 (multiplicity 2)
Cd  0.0778  0.2500  0.6138 (multiplicity 2)
Te  0.1043  0.2500  0.8699 (multiplicity 2)
Te  0.2512  0.7500  0.5641 (multiplicity 2)
Te  0.4625  0.7500  0.1419 (multiplicity 2)

(11)
RbScCdTe3 | PBE-GGA | optimized geometry

Output
The theoretical density is 5.1 g/cm3. For the total DFT energy (no corrections), the calculation gives -3.81 eV per atom.

abc: 19.3224 4.3681 9.8433
angles: 90.00 101.70 90.00
Space group C2/m (No. 12)
Unique sites:
Rb  0.1469  0.0000  0.0629 (multiplicity 4)
Sc  0.1776  0.0000  0.5767 (multiplicity 4)
Cd  0.0151  0.5000  0.7172 (multiplicity 4)
Te  0.0000  0.0000  0.5000 (multiplicity 2)
Te  0.0000  0.5000  0.0000 (multiplicity 2)
Te  0.1690  0.5000  0.3718 (multiplicity 4)
Te  0.1687  0.5000  0.7716 (multiplicity 4)

(12)
Rb2Cd3Se4 | PBE-GGA | optimized geometry

Output
The theoretical density is 4.9 g/cm3. For the total DFT energy (no corrections), the calculation gives -2.92 eV per atom.

abc: 14.7726 11.1226 6.8597
angles: 90.00 90.00 90.00
Space group Pnma (No. 62)
Unique sites:
Rb  0.0000  0.0000  0.0000 (multiplicity 4)
Rb  0.0374  0.2500  0.4780 (multiplicity 4)
Cd  0.2056  0.7500  0.2581 (multiplicity 4)
Cd  0.2449  0.0946  0.1909 (multiplicity 8)
Se  0.1362  0.5371  0.4098 (multiplicity 8)
Se  0.1390  0.2500  0.9637 (multiplicity 4)
Se  0.1500  0.7500  0.8945 (multiplicity 4)

(13)
RbTmCdSe3 | PBE-GGA | optimized geometry

Output
The theoretical density is 5.8 g/cm3. For the total DFT energy (no corrections), the calculation gives -4.06 eV per atom.

abc: 17.9424 4.2074 9.3990
angles: 90.00 102.65 90.00
Space group C2/m (No. 12)
Unique sites:
Rb  0.1469  0.0000  0.0650 (multiplicity 4)
Tm  0.1708  0.0000  0.5781 (multiplicity 4)
Cd  0.0079  0.5000  0.7199 (multiplicity 4)
Se  0.0000  0.0000  0.5000 (multiplicity 2)
Se  0.0000  0.5000  0.0000 (multiplicity 2)
Se  0.1639  0.5000  0.7739 (multiplicity 4)
Se  0.1675  0.5000  0.3711 (multiplicity 4)

(14)
RbTmCdSe3 | PBE-GGA | optimized geometry

Output
The theoretical density is 5.3 g/cm3. For the total DFT energy (no corrections), the calculation gives -4.12 eV per atom.

abc: 8.8355 4.2367 10.6999
angles: 90.00 110.07 90.00
Space group P2_1/m (No. 11)
Unique sites:
Rb  0.2489  0.2500  0.2659 (multiplicity 2)
Tm  0.3224  0.7500  0.8687 (multiplicity 2)
Cd  0.0809  0.2500  0.6131 (multiplicity 2)
Se  0.0978  0.2500  0.8614 (multiplicity 2)
Se  0.2389  0.7500  0.5599 (multiplicity 2)
Se  0.4658  0.7500  0.1420 (multiplicity 2)

(15)
RbZrCdSe3 | PBE-GGA | optimized geometry

Output
The theoretical density is 5.1 g/cm3. For the total DFT energy (no corrections), the calculation gives -4.47 eV per atom.

abc: 10.7482 4.0978 15.6570
angles: 90.00 90.00 90.00
Space group Pnma (No. 62)
Unique sites:
Rb  0.2481  0.2500  0.0007 (multiplicity 4)
Zr  0.0069  0.7500  0.7502 (multiplicity 4)
Cd  0.2441  0.7500  0.2110 (multiplicity 4)
Se  0.0324  0.7500  0.1295 (multiplicity 4)
Se  0.0437  0.2500  0.6297 (multiplicity 4)
Se  0.2431  0.2500  0.3199 (multiplicity 4)

(16)
RbZrCdSe3 | PBE-GGA | optimized geometry

Output
The theoretical density is 5.1 g/cm3. For the total DFT energy (no corrections), the calculation gives -4.47 eV per atom.

abc: 4.0928 15.6196 10.7443
angles: 90.00 90.00 90.00
Space group Cmcm (No. 63)
Unique sites:
Rb  0.0000  0.2486  0.2500 (multiplicity 4)
Zr  0.0000  0.0000  0.0000 (multiplicity 4)
Cd  0.0000  0.4616  0.7500 (multiplicity 4)
Se  0.0000  0.0704  0.7500 (multiplicity 4)
Se  0.0000  0.3793  0.5383 (multiplicity 8)

(17)
RbCdSi | PBE-GGA | optimized geometry

Output
The theoretical density is 3.2 g/cm3. For the total DFT energy (no corrections), the calculation gives -1.38 eV per atom.

abc: 7.7837 7.7837 7.7837
angles: 90.00 90.00 90.00
Space group F-43m (No. 216)
Unique sites:
Rb  0.0000  0.0000  0.0000 (multiplicity 4)
Cd  0.2500  0.2500  0.7500 (multiplicity 4)
Si  0.2500  0.2500  0.2500 (multiplicity 4)

(18)
RbCdSi | PBE-GGA | optimized geometry

Output
The theoretical density is 3.8 g/cm3. For the total DFT energy (no corrections), the calculation gives -1.88 eV per atom.

abc: 7.3618 7.3618 7.3618
angles: 90.00 90.00 90.00
Space group F-43m (No. 216)
Unique sites:
Rb  0.0000  0.0000  0.0000 (multiplicity 4)
Cd  0.0000  0.0000  0.5000 (multiplicity 4)
Si  0.2500  0.2500  0.7500 (multiplicity 4)

(19)
RbCdSi | PBE-GGA | optimized geometry

Output
The theoretical density is 3.8 g/cm3. For the total DFT energy (no corrections), the calculation gives -1.84 eV per atom.

abc: 7.3480 7.3480 7.3480
angles: 90.00 90.00 90.00
Space group F-43m (No. 216)
Unique sites:
Rb  0.0000  0.0000  0.0000 (multiplicity 4)
Cd  0.2500  0.2500  0.2500 (multiplicity 4)
Si  0.0000  0.0000  0.5000 (multiplicity 4)

(20)
RbCd2Sn2 | PBE-GGA | optimized geometry

Output
The theoretical density is 6.0 g/cm3. For the total DFT energy (no corrections), the calculation gives -2.31 eV per atom.

abc: 4.9572 4.9572 12.4231
angles: 90.00 90.00 90.00
Space group I4/mmm (No. 139)
Unique sites:
Rb  0.0000  0.0000  0.0000 (multiplicity 2)
Cd  0.0000  0.5000  0.2500 (multiplicity 4)
Sn  0.0000  0.0000  0.3827 (multiplicity 4)